No. 1
Entry from the Alexandria database: a relaxed structure of CsBa3Bi (GGA-PBE).

abc: 6.3391 6.3391 6.3391
angles: 90.00 90.00 90.00
Fractional positions:
Ba 0.5000 0.0000 0.0000
Ba 0.0000 0.0000 0.5000
Ba 0.0000 0.5000 0.0000
Cs 0.0000 0.0000 0.0000
Bi 0.5000 0.5000 0.5000

Calculated values
The total magnetization is 0.0 μB/cell. The value obtained for the energy is -1.563 eV per atom. The calculation puts the formation energy at 2.69 eV per formula unit. As for the space group: Pm-3m (221). The calculation puts the energy above the most stable polymorph in this dataset at 0.842 eV/atom.

No. 2
Entry from the Alexandria database: a relaxed structure of CsBa4Bi4 (GGA-PBE).

abc: 7.0615 11.7513 11.7513
angles: 90.00 90.00 90.00
Last column: magnetic moment on the atom in μB.
Fractional positions:
Bi 0.1067 0.1620 0.3150  0.05
Ba 0.8909 0.3767 0.1464  0.04
Ba 0.8909 0.6233 0.8536  0.04
Cs 0.0000 0.0000 0.0000  0.00
Ba 0.3909 0.3536 0.8767  0.04
Bi 0.3933 0.6620 0.8150  0.05
Ba 0.1091 0.1464 0.6233  0.04
Ba 0.6091 0.8767 0.6464  0.04
Bi 0.8933 0.3150 0.8380  0.05
Bi 0.6067 0.8150 0.3380  0.05
Ba 0.3909 0.6464 0.1233  0.04
Bi 0.6067 0.1850 0.6620  0.05
Ba 0.6091 0.1233 0.3536  0.04
Bi 0.3933 0.3380 0.1850  0.05
Cs 0.5000 0.5000 0.5000  0.00
Bi 0.8933 0.6850 0.1620  0.05
Bi 0.1067 0.8380 0.6850  0.05
Ba 0.1091 0.8536 0.3767  0.04

Calculated values
The total magnetization is 1.8 μB/cell. The value obtained for the energy is -3.340 eV per atom. The calculation puts the formation energy at -5.99 eV per formula unit. As for the space group: P4_2/n (86).

No. 3
Entry from the Alexandria database: a relaxed structure of CsBa3Bi (GGA-PBE).

abc: 7.0230 7.0230 7.0230
angles: 90.00 90.00 90.00
Fractional positions:
Ba 0.5000 0.0000 0.0000
Cs 0.5000 0.5000 0.5000
Bi 0.0000 0.0000 0.0000
Ba 0.0000 0.5000 0.0000
Ba 0.0000 0.0000 0.5000

Calculated values
The total magnetization is 0.0 μB/cell. The value obtained for the energy is -2.405 eV per atom. The calculation puts the formation energy at -1.52 eV per formula unit. As for the space group: Pm-3m (221). The calculation puts the energy above the most stable polymorph in this dataset at 0.000 eV/atom.

No. 4
Entry from the Alexandria database: a relaxed structure of CsBaBi3 (GGA-PBE).

abc: 6.5300 6.5300 6.5300
angles: 90.00 90.00 90.00
Fractional positions:
Ba 0.0000 0.0000 0.0000
Bi 0.0000 0.0000 0.5000
Bi 0.0000 0.5000 0.0000
Cs 0.5000 0.5000 0.5000
Bi 0.5000 0.0000 0.0000

Calculated values
The total magnetization is 0.0 μB/cell. The value obtained for the energy is -2.669 eV per atom. The calculation puts the formation energy at 1.07 eV per formula unit. As for the space group: Pm-3m (221). The calculation puts the energy above the most stable polymorph in this dataset at 0.000 eV/atom.

No. 5
Entry from the Alexandria database: a relaxed structure of CsBaBi (GGA-PBE).

abc: 4.8278 4.8278 7.6989
angles: 108.27 108.27 90.00
Fractional positions:
Cs 0.0174 0.0174 0.0348
Ba 0.2807 0.2807 0.5615
Bi 0.7019 0.7019 0.4037

Calculated values
The total magnetization is 0.0 μB/cell. The value obtained for the energy is -2.714 eV per atom. The calculation puts the formation energy at -1.49 eV per formula unit. As for the space group: I4mm (107).

No. 6
Entry from the Alexandria database: a relaxed structure of CsBaBi (GGA-PBE).

abc: 10.7105 8.5441 6.2646
angles: 90.00 90.00 90.00
Fractional positions:
Cs 0.6654 0.2500 0.0000
Ba 0.0000 0.5000 0.0000
Bi 0.3302 0.2500 0.0001
Ba 0.5000 0.0000 0.5000
Cs 0.3346 0.7500 0.0000
Ba 0.5000 0.5000 0.5000
Bi 0.1698 0.7500 0.5001
Cs 0.1654 0.2500 0.5000
Bi 0.8302 0.2500 0.4999
Bi 0.6698 0.7500 0.9999
Cs 0.8346 0.7500 0.5000
Ba 0.0000 0.0000 0.0000

Calculated values
The total magnetization is 0.0 μB/cell. The value obtained for the energy is -2.664 eV per atom. The calculation puts the formation energy at -1.33 eV per formula unit. As for the space group: Cmcm (63).

No. 7
Entry from the Alexandria database: a relaxed structure of CsBaBi (GGA-PBE).

abc: 10.0807 5.9673 10.3613
angles: 90.00 90.00 90.00
Fractional positions:
Cs 0.5130 0.7500 0.3282
Ba 0.3498 0.2500 0.0827
Bi 0.7046 0.2500 0.1025
Bi 0.2046 0.2500 0.3975
Bi 0.2954 0.7500 0.8975
Ba 0.1502 0.7500 0.5827
Bi 0.7954 0.7500 0.6025
Ba 0.6502 0.7500 0.9173
Ba 0.8498 0.2500 0.4173
Cs 0.0130 0.7500 0.1718
Cs 0.9870 0.2500 0.8282
Cs 0.4870 0.2500 0.6718

Calculated values
The total magnetization is 0.0 μB/cell. The value obtained for the energy is -2.925 eV per atom. The calculation puts the formation energy at -2.12 eV per formula unit. As for the space group: Pnma (62).

No. 8
Entry from the Alexandria database: a relaxed structure of CsBaBi (GGA-PBE).

abc: 6.3600 6.3600 7.8340
angles: 90.00 90.00 120.00
Fractional positions:
Bi 0.6666 0.8334 0.7500
Bi 0.3334 0.1666 0.2500
Ba 0.6667 0.8333 0.2500
Cs 0.0000 0.5000 0.0000
Cs 0.0000 0.5000 0.5000
Ba 0.3333 0.1667 0.7500

Calculated values
The total magnetization is 0.0 μB/cell. The value obtained for the energy is -2.887 eV per atom. The calculation puts the formation energy at -2.00 eV per formula unit. As for the space group: P6_3/mmc (194).

No. 9
Entry from the Alexandria database: a relaxed structure of CsBaBi (GGA-PBE).

abc: 9.2452 5.5638 11.7542
angles: 90.00 90.00 90.00
Fractional positions:
Bi 0.2025 0.7500 0.8758
Cs 0.8706 0.2500 0.4385
Bi 0.2975 0.2500 0.3758
Ba 0.5452 0.7500 0.3390
Cs 0.1294 0.7500 0.5615
Ba 0.9548 0.2500 0.8390
Bi 0.7975 0.2500 0.1242
Ba 0.4548 0.2500 0.6610
Cs 0.3706 0.2500 0.0615
Ba 0.0452 0.7500 0.1610
Bi 0.7025 0.7500 0.6242
Cs 0.6294 0.7500 0.9385

Calculated values
The total magnetization is 0.0 μB/cell. The value obtained for the energy is -2.811 eV per atom. The calculation puts the formation energy at -1.78 eV per formula unit. As for the space group: Pnma (62).

No. 10
Entry from the Alexandria database: a relaxed structure of CsBaBi (GGA-PBE).

abc: 6.2762 5.7496 5.7496
angles: 120.00 90.00 90.00
Fractional positions:
Ba 0.4451 0.3333 0.6667
Bi 0.5987 0.6667 0.3333
Cs 0.9562 0.0000 0.0000

Calculated values
The total magnetization is 0.0 μB/cell. The value obtained for the energy is -2.712 eV per atom. The calculation puts the formation energy at -1.48 eV per formula unit. As for the space group: P3m1 (156).

No. 11
Entry from the Alexandria database: a relaxed structure of CsBaBi3 (GGA-PBE).

abc: 6.2914 6.2914 6.2914
angles: 90.00 90.00 90.00
Fractional positions:
Bi 0.0000 0.5000 0.0000
Ba 0.5000 0.5000 0.5000
Cs 0.0000 0.0000 0.0000
Bi 0.0000 0.0000 0.5000
Bi 0.5000 0.0000 0.0000

Calculated values
The total magnetization is 0.0 μB/cell. The value obtained for the energy is -2.337 eV per atom. The calculation puts the formation energy at 2.74 eV per formula unit. As for the space group: Pm-3m (221). The calculation puts the energy above the most stable polymorph in this dataset at 0.332 eV/atom.

No. 12
Entry from the Alexandria database: a relaxed structure of CsBa2Bi6 (GGA-PBE).

abc: 4.9262 9.8602 9.8602
angles: 66.13 75.64 75.64
Fractional positions:
Ba 0.8533 0.6472 0.6472
Cs 0.0000 0.0000 0.0000
Bi 0.3128 0.9504 0.4231
Bi 0.3128 0.4231 0.9504
Bi 0.6872 0.5769 0.0496
Bi 0.5000 0.6483 0.3517
Bi 0.6872 0.0496 0.5769
Ba 0.1467 0.3528 0.3528
Bi 0.5000 0.3517 0.6483

Calculated values
The total magnetization is 0.0 μB/cell. The value obtained for the energy is -3.576 eV per atom. The calculation puts the formation energy at -4.20 eV per formula unit. As for the space group: C2/m (12).

No. 13
Entry from the Alexandria database: a relaxed structure of Cs2Ba2Bi (GGA-PBE).

abc: 9.4412 9.4412 7.9575
angles: 90.00 90.00 90.00
Fractional positions:
Cs 0.8211 0.6789 0.5000
Bi 0.5000 0.5000 0.0000
Ba 0.1702 0.6702 0.0000
Ba 0.3298 0.1702 0.0000
Ba 0.8298 0.3298 0.0000
Cs 0.1789 0.3211 0.5000
Cs 0.3211 0.8211 0.5000
Ba 0.6702 0.8298 0.0000
Bi 0.0000 0.0000 0.0000
Cs 0.6789 0.1789 0.5000

Calculated values
The total magnetization is 0.9 μB/cell. The value obtained for the energy is -2.094 eV per atom. The calculation puts the formation energy at -1.04 eV per formula unit. As for the space group: P4/mbm (127).

No. 14
Entry from the Alexandria database: a relaxed structure of Cs2BaBi (GGA-PBE).

abc: 13.7440 13.7440 10.3120
angles: 48.21 48.21 90.00
Fractional positions:
Ba 0.5000 0.5000 0.0000
Cs 0.8750 0.0051 0.7500
Ba 0.2500 0.7500 0.5000
Bi 0.7500 0.2500 0.5000
Cs 0.3750 0.2449 0.7500
Cs 0.9949 0.6250 0.2500
Cs 0.7551 0.1250 0.2500
Bi 0.0000 0.0000 0.0000

Calculated values
The total magnetization is 0.0 μB/cell. The value obtained for the energy is -2.096 eV per atom. The calculation puts the formation energy at -0.87 eV per formula unit. As for the space group: I-42d (122).

No. 15
Entry from the Alexandria database: a relaxed structure of Cs2BaBiF (GGA-PBE).

abc: 5.6879 5.6879 6.1264
angles: 90.00 90.00 90.00
Fractional positions:
Cs 0.5000 0.0000 0.0000
Bi 0.5000 0.5000 0.5000
Cs 0.0000 0.5000 0.0000
Ba 0.0000 0.0000 0.5000
F 0.0000 0.0000 0.0000

Calculated values
As for the formation energy without anion corrections: -1.378 eV/atom. The total magnetization is 0.0 μB/cell. The value obtained for the energy is -3.254 eV per atom. As for the space group: P4/mmm (123).

No. 16
Entry from the Alexandria database: a relaxed structure of Cs2BaBiF6 (GGA-PBE).

abc: 7.2072 7.2072 7.0671
angles: 59.34 59.34 90.00
Last column: magnetic moment on the atom in μB.
Fractional positions:
F 0.7520 0.7520 0.0000  0.03
F 0.2480 0.7520 0.0000  0.03
F 0.2365 0.2365 0.5269  0.01
Bi 0.0000 0.0000 0.0000  0.49
F 0.7635 0.7635 0.4731  0.01
F 0.7520 0.2480 0.0000  0.03
Cs 0.2500 0.7500 0.5000  0.01
F 0.2480 0.2480 0.0000  0.03
Ba 0.5000 0.5000 0.0000  0.02
Cs 0.7500 0.2500 0.5000  0.01

Calculated values
As for the formation energy without anion corrections: -2.683 eV/atom. The total magnetization is 1.0 μB/cell. The value obtained for the energy is -4.557 eV per atom. As for the space group: I4/mmm (139).

No. 17
Entry from the Alexandria database: a relaxed structure of Cs2BaBiH (GGA-PBE).

abc: 5.6751 5.6751 6.1812
angles: 90.00 90.00 90.00
Fractional positions:
Bi 0.5000 0.5000 0.5000
Cs 0.0000 0.5000 0.0000
Cs 0.5000 0.0000 0.0000
Ba 0.0000 0.0000 0.5000
H 0.0000 0.0000 0.0000

Calculated values
The total magnetization is 0.0 μB/cell. The value obtained for the energy is -2.551 eV per atom. As for the space group: P4/mmm (123).

No. 18
Entry from the Alexandria database: a relaxed structure of CsBaBi2H (GGA-PBE).

abc: 5.3717 5.5400 5.3717
angles: 90.00 90.00 90.00
Fractional positions:
H 0.0000 0.0000 0.0000
Cs 0.0000 0.5000 0.0000
Ba 0.5000 0.5000 0.5000
Bi 0.0000 0.0000 0.5000
Bi 0.5000 0.0000 0.0000

Calculated values
The total magnetization is 0.0 μB/cell. The value obtained for the energy is -2.963 eV per atom. As for the space group: P4/mmm (123).

No. 19
Entry from the Alexandria database: a relaxed structure of CsBaHf2Bi (GGA-PBE).

abc: 5.5856 6.2907 5.5856
angles: 90.00 90.00 90.00
Fractional positions:
Cs 0.0000 0.5000 0.0000
Hf 0.5000 0.0000 0.0000
Ba 0.0000 0.0000 0.0000
Bi 0.5000 0.5000 0.5000
Hf 0.0000 0.0000 0.5000

Calculated values
The total magnetization is 0.0 μB/cell. The value obtained for the energy is -3.604 eV per atom. The calculation puts the formation energy at 8.54 eV per formula unit. As for the space group: P4/mmm (123).

No. 20
Entry from the Alexandria database: a relaxed structure of CsBaHgBi (GGA-PBE).

abc: 6.2234 6.2234 6.2234
angles: 60.00 60.00 60.00
Fractional positions:
Bi 0.2500 0.2500 0.2500
Cs 0.5000 0.5000 0.5000
Hg 0.7500 0.7500 0.7500
Ba 0.0000 0.0000 0.0000

Calculated values
The total magnetization is 0.0 μB/cell. The value obtained for the energy is -2.280 eV per atom. The calculation puts the formation energy at -2.16 eV per formula unit. As for the space group: F-43m (216).

No. 21
Entry from the Alexandria database: a relaxed structure of Cs2BaInBi2 (GGA-PBE).

abc: 5.3954 9.3907 10.8475
angles: 90.00 90.00 90.00
Fractional positions:
Bi 0.0000 0.2472 0.7972
Cs 0.5000 0.0207 0.0919
Bi 0.0000 0.7472 0.2028
Bi 0.5000 0.7785 0.5943
Cs 0.5000 0.5207 0.9081
Cs 0.0000 0.8498 0.8347
Ba 0.0000 0.9961 0.4638
Bi 0.5000 0.2785 0.4057
In 0.5000 0.1533 0.6687
In 0.5000 0.6533 0.3313
Cs 0.0000 0.3498 0.1653
Ba 0.0000 0.4961 0.5362

Calculated values
The total magnetization is 0.0 μB/cell. The value obtained for the energy is -2.860 eV per atom. The calculation puts the formation energy at -3.03 eV per formula unit. As for the space group: Pmc2_1 (26).

No. 22
Entry from the Alexandria database: a relaxed structure of CsBaIn2Bi2 (GGA-PBE).

abc: 5.6574 5.6574 9.2386
angles: 90.00 90.00 120.00
Fractional positions:
Ba 0.0000 0.0000 0.5000
Bi 0.3333 0.6667 0.7095
In 0.6667 0.3333 0.6647
In 0.3333 0.6667 0.3353
Cs 0.0000 0.0000 0.0000
Bi 0.6667 0.3333 0.2905

Calculated values
The total magnetization is 0.0 μB/cell. The value obtained for the energy is -3.072 eV per atom. The calculation puts the formation energy at -2.42 eV per formula unit. As for the space group: P-3m1 (164).

No. 23
Entry from the Alexandria database: a relaxed structure of CsBaBiIr2 (GGA-PBE).

abc: 5.1781 5.1781 6.1066
angles: 90.00 90.00 90.00
Fractional positions:
Cs 0.0000 0.0000 0.0000
Ir 0.0000 0.5000 0.0000
Bi 0.5000 0.5000 0.5000
Ba 0.0000 0.0000 0.5000
Ir 0.5000 0.0000 0.0000

Calculated values
The total magnetization is 0.0 μB/cell. The value obtained for the energy is -3.136 eV per atom. The calculation puts the formation energy at 8.70 eV per formula unit. As for the space group: P4/mmm (123).

No. 24
Entry from the Alexandria database: a relaxed structure of CsKBa2Bi (GGA-PBE).

abc: 6.9578 6.9578 7.2708
angles: 90.00 90.00 90.00
Fractional positions:
K 0.0000 0.0000 0.5000
Cs 0.5000 0.5000 0.5000
Bi 0.0000 0.0000 0.0000
Ba 0.5000 0.0000 0.0000
Ba 0.0000 0.5000 0.0000

Calculated values
The total magnetization is 0.0 μB/cell. The value obtained for the energy is -2.211 eV per atom. The calculation puts the formation energy at -1.38 eV per formula unit. As for the space group: P4/mmm (123).

No. 25
Entry from the Alexandria database: a relaxed structure of Cs2Ba5Bi3O2 (GGA-PBE).

abc: 5.4620 5.4620 16.7486
angles: 99.38 99.38 90.00
Fractional positions:
Bi 0.1654 0.1654 0.3308
Cs 0.7086 0.7086 0.4171
Ba 0.0931 0.5931 0.1861
Cs 0.2914 0.2914 0.5829
Ba 0.5931 0.0931 0.1861
O 0.5804 0.5804 0.1608
Ba 0.9069 0.4069 0.8139
Ba 0.5000 0.5000 0.0000
Bi 0.8346 0.8346 0.6692
O 0.4196 0.4196 0.8392
Ba 0.4069 0.9069 0.8139
Bi 0.0000 0.0000 0.0000

Calculated values
As for the formation energy without anion corrections: -1.300 eV/atom. The total magnetization is 0.0 μB/cell. The value obtained for the energy is -4.040 eV per atom. As for the space group: I4/mmm (139).